1.
A geometry-optimized P4OsSe structure, computed with PBE.

Lattice parameters (Å, degrees): 5.0551 5.0551 5.0551 60.00 60.00 60.00
Last column: nearest neighbours and their distance in Å.
Positions (direct):
P 0.3785 0.3785 0.3785  6 P 2.46-2.60
P 0.3785 0.8646 0.3785  6 P 2.46-2.60
P 0.8646 0.3785 0.3785  6 P 2.46-2.60
P 0.3785 0.3785 0.8646  6 P 2.46-2.60
Os 0.0000 0.0000 0.0000  12 P 2.97, 4 Se 3.10
Se 0.7500 0.7500 0.7500  12 P 2.96, 4 Os 3.10

VASP energy = -4.887 eV/atom
E_form (uncorrected) = 1.172 eV/atom
Space-group type = F-43m, No. 216

---

2.
A geometry-optimized HfGePd structure, computed with PBE.

Lattice parameters (Å, degrees): 3.0992 4.3735 4.3735 120.00 90.00 90.00
Last column: nearest neighbours and their distance in Å.
Positions (direct):
Hf 0.6668 0.3333 0.6667  6 Ge 2.96, 6 Pd 2.96, 2 Hf 3.10
Pd 0.1667 0.6667 0.3333  3 Ge 2.53
Ge 0.1665 0.0000 0.0000  3 Pd 2.53

VASP energy = -7.330 eV/atom
Space-group type = P-6m2, No. 187

---

3.
A geometry-optimized MgPIr3 structure, computed with PBE.

Lattice parameters (Å, degrees): 4.4982 4.4982 4.4982 90.00 90.00 90.00
Last column: nearest neighbours and their distance in Å.
Positions (direct):
Mg 0.0000 0.0000 0.0000  6 Ir 2.25
P 0.5000 0.5000 0.5000  12 Ir 3.18
Ir 0.0000 0.5000 0.0000  2 Mg 2.25
Ir 0.5000 0.0000 0.0000  2 Mg 2.25
Ir 0.0000 0.0000 0.5000  2 Mg 2.25

VASP energy = -4.844 eV/atom
ΔE to the lowest computed polymorph = 1761 meV per atom
Space-group type = Pm-3m, No. 221

---

4.
A geometry-optimized CuSiRh2 structure, computed with PBE.

Lattice parameters (Å, degrees): 3.5767 2.8350 5.6096 70.99 90.00 90.00
Last column: nearest neighbours and their distance in Å.
Positions (direct):
Si 0.5000 0.2500 0.2500  4 Rh 2.35
Cu 0.5000 0.7500 0.7500  8 Rh 2.65-2.70, 2 Si 2.70, 2 Cu 2.84
Rh 0.0000 0.4008 0.4874  2 Si 2.35
Rh 0.0000 0.0992 0.0126  2 Si 2.35

VASP energy = -6.448 eV/atom
E_form (uncorrected) = -0.393 eV/atom
Space-group type = P2/m, No. 10

---

5.
A geometry-optimized LaY2Cl structure, computed with PBE.

Lattice parameters (Å, degrees): 6.8638 6.8638 6.8638 141.23 141.23 56.00
Last column: nearest neighbours and their distance in Å.
Positions (direct):
Y 0.0000 0.0000 0.0000  4 Y 3.22
Y 0.5000 0.5000 0.0000  4 Y 3.22
Cl 0.2500 0.7500 0.5000  4 La 3.22
La 0.7500 0.2500 0.5000  4 Cl 3.22

VASP energy = -5.053 eV/atom
ΔE to the lowest computed polymorph = 543 meV per atom
E_form (uncorrected) = -0.128 eV/atom
Space-group type = I4/mmm, No. 139

---

6.
A geometry-optimized Th6TcSn2 structure, computed with PBE.

Lattice parameters (Å, degrees): 3.9758 8.7264 8.7266 120.00 90.00 90.00
Last column: nearest neighbours and their distance in Å.
Positions (direct):
Th 0.5000 0.5959 0.0000  4 Sn 3.32, 1 Tc 3.53, 6 Th 3.66
Th 0.0000 0.2441 0.0000  2 Tc 2.91
Th 0.0000 0.7559 0.7559  2 Tc 2.91
Th 0.5000 0.0000 0.5958  4 Sn 3.32, 1 Tc 3.53, 6 Th 3.66
Th 0.0000 0.0000 0.2441  2 Tc 2.91
Th 0.5000 0.4042 0.4042  4 Sn 3.32, 1 Tc 3.53, 6 Th 3.66
Tc 0.5000 0.0000 0.0000  6 Th 2.91
Sn 0.0000 0.3333 0.6667  9 Th 3.32-3.37
Sn 0.0000 0.6666 0.3333  9 Th 3.32-3.37

VASP energy = -7.359 eV/atom
ΔE to the lowest computed polymorph = 0 meV per atom
Space-group type = P-62m, No. 189

---

7.
A geometry-optimized AlZnIr structure, computed with PBE.

Lattice parameters (Å, degrees): 6.9631 6.6875 2.8060 83.71 72.68 23.61
Last column: nearest neighbours and their distance in Å.
Positions (direct):
Ir 0.3382 0.3382 0.6618  2 Al 2.48, 2 Zn 2.63
Zn 0.6690 0.6690 0.3310  2 Ir 2.63, 2 Al 2.71, 6 Zn 2.81-2.87
Al 0.9928 0.9928 0.0072  2 Ir 2.48, 2 Zn 2.71

VASP energy = -4.776 eV/atom
Space-group type = Fmm2, No. 42

---

8.
A geometry-optimized Ce4TcRu structure, computed with PBE.

Lattice parameters (Å, degrees): 6.6926 6.6354 8.3011 108.45 108.70 101.91
Last column: nearest neighbours and their distance in Å.
Positions (direct):
Tc 0.6018 0.3518 0.7035  4 Ce 2.59-2.68
Tc 0.3982 0.6482 0.2965  4 Ce 2.59-2.68
Ru 0.9062 0.1562 0.3124  6 Ce 2.66-2.93
Ru 0.0938 0.8438 0.6876  6 Ce 2.66-2.93
Ce 0.2977 0.5463 0.6056  2 Ru 2.66-2.93, 1 Tc 2.68
Ce 0.5143 0.7985 0.0756  1 Tc 2.59, 1 Ru 2.75
Ce 0.4857 0.2015 0.9244  1 Tc 2.59, 1 Ru 2.75
Ce 0.8080 0.0593 0.6056  2 Ru 2.66-2.93, 1 Tc 2.68
Ce 0.1920 0.9407 0.3944  2 Ru 2.66-2.93, 1 Tc 2.68
Ce 0.9387 0.7229 0.9244  1 Tc 2.59, 1 Ru 2.75
Ce 0.0613 0.2771 0.0756  1 Tc 2.59, 1 Ru 2.75
Ce 0.7023 0.4537 0.3944  2 Ru 2.66-2.93, 1 Tc 2.68

VASP energy = -7.322 eV/atom
ΔE to the lowest computed polymorph = 91 meV per atom
Space-group type = C2/c, No. 15

---

9.
A geometry-optimized RbLaY2 structure, computed with PBE.

Lattice parameters (Å, degrees): 6.0426 6.0426 6.0426 60.00 60.00 60.00
Last column: nearest neighbours and their distance in Å.
Positions (direct):
Y 0.7500 0.7500 0.7500  4 Rb 3.70, 4 La 3.70
Y 0.2500 0.2500 0.2500  4 La 3.70, 4 Rb 3.70
Rb 0.0000 0.0000 0.0000  8 Y 3.70
La 0.5000 0.5000 0.5000  8 Y 3.70

VASP energy = -4.107 eV/atom
ΔE to the lowest computed polymorph = 0 meV per atom
Space-group type = Fm-3m, No. 225

---

10.
A geometry-optimized BaMgAs2Se structure, computed with PBE.

Lattice parameters (Å, degrees): 5.8102 5.8102 5.9209 90.00 90.00 90.00
Last column: nearest neighbours and their distance in Å.
Positions (direct):
Mg 0.5000 0.5000 0.5000  4 Se 4.11, 8 As 4.15
Ba 0.0000 0.0000 0.0000  4 As 2.91, 2 Se 2.96
Se 0.0000 0.0000 0.5000  2 Ba 2.96
As 0.0000 0.5000 0.0000  2 Ba 2.91
As 0.5000 0.0000 0.0000  2 Ba 2.91

VASP energy = -2.527 eV/atom
ΔE to the lowest computed polymorph = 1199 meV per atom
E_form (uncorrected) = 0.733 eV/atom
Space-group type = P4/mmm, No. 123

---

11.
A geometry-optimized TaIn4Sb structure, computed with PBE.

Lattice parameters (Å, degrees): 5.8577 5.8577 5.8577 60.00 60.00 60.00
Last column: nearest neighbours and their distance in Å.
Positions (direct):
In 0.3743 0.3743 0.3743  6 In 2.91-2.95
In 0.3743 0.3743 0.8771  6 In 2.91-2.95
In 0.3743 0.8771 0.3743  6 In 2.91-2.95
In 0.8771 0.3743 0.3743  6 In 2.91-2.95
Ta 0.0000 0.0000 0.0000  12 In 3.43, 4 Sb 3.59
Sb 0.7500 0.7500 0.7500  12 In 3.44, 4 Ta 3.59

VASP energy = -3.910 eV/atom
E_form (uncorrected) = 0.578 eV/atom
Space-group type = F-43m, No. 216

---

12.
A geometry-optimized BeAl2Sb structure, computed with PBE.

Lattice parameters (Å, degrees): 4.1313 5.8461 3.4679 72.96 89.41 110.50
Last column: nearest neighbours and their distance in Å.
Positions (direct):
Be 0.0000 0.5000 0.5000  4 Sb 2.68-2.71, 4 Al 2.93
Al 0.0000 0.0000 0.0000  4 Al 2.68-2.71, 2 Be 2.93, 2 Sb 2.93
Al 0.5000 0.0000 0.5000  4 Al 2.68-2.71, 2 Sb 2.93, 2 Be 2.93
Sb 0.5000 0.5000 0.0000  4 Be 2.68-2.71, 4 Al 2.93

VASP energy = -3.471 eV/atom
ΔE to the lowest computed polymorph = 108 meV per atom
E_form (uncorrected) = 0.363 eV/atom
Space-group type = C2/m, No. 12